(1)
VCdCuO4 | meta-GGA SCAN | PBEsol geometry

Lattice parameters (Å, degrees): 5.3642 5.3642 6.4791 90.00 90.00 112.23
With the nearest neighbours (Å) after each atom.
Element x y z (fractional)
1 V 0.1327 0.8673 0.7500  4 O 1.71-1.75
2 V 0.8673 0.1327 0.2500  4 O 1.71-1.75
3 Cd 0.5000 0.5000 0.0000  6 O 2.27-2.32
4 Cd 0.5000 0.5000 0.5000  6 O 2.27-2.32
5 Cu 0.1891 0.8109 0.2500  2 O 1.87
6 Cu 0.8109 0.1891 0.7500  2 O 1.87
7 O 0.2202 0.2480 0.2500  1 V 1.75
8 O 0.2402 0.7598 0.5305  1 V 1.71, 1 Cu 1.87
9 O 0.2402 0.7598 0.9695  1 V 1.71, 1 Cu 1.87
10 O 0.2480 0.2202 0.7500  1 V 1.75
11 O 0.7520 0.7798 0.2500  1 V 1.75
12 O 0.7598 0.2402 0.0305  1 V 1.71, 1 Cu 1.87
13 O 0.7598 0.2402 0.4695  1 V 1.71, 1 Cu 1.87
14 O 0.7798 0.7520 0.7500  1 V 1.75

Output
The raw total energy comes out at -14.36 eV per atom. The crystal system is orthorhombic. As for the space group: Cmcm, No. 63. For the formation energy (no corrections), the calculation gives -12.47 eV/f.u.

***

(2)
CdCu2Os | meta-GGA SCAN | PBEsol geometry

Lattice parameters (Å, degrees): 2.6446 3.7961 5.5837 90.00 90.00 90.00
With the nearest neighbours (Å) after each atom.
Element x y z (fractional)
1 Cd 0.0000 0.0000 0.0000  2 Cd 2.64, 8 Cu 2.78, 2 Os 2.79
2 Cu 0.5000 0.5000 0.2754  3 Cu 2.51-2.64, 4 Os 2.63, 4 Cd 2.78
3 Cu 0.5000 0.5000 0.7246  3 Cu 2.51-2.64, 4 Os 2.63, 4 Cd 2.78
4 Os 0.0000 0.0000 0.5000  8 Cu 2.63, 2 Os 2.64, 2 Cd 2.79

Output
The raw total energy comes out at -32.79 eV per atom. The crystal system is orthorhombic. The energy relative to the elements comes out at 386.3 meV/atom. As for the space group: Pmmm, No. 47.

***

(3)
CdCu2Os | meta-GGA SCAN | PBEsol geometry

Lattice parameters (Å, degrees): 4.0324 4.0324 6.8136 90.00 90.00 90.00
With the nearest neighbours (Å) after each atom.
Element x y z (fractional)
1 Cd 0.0000 0.0000 0.0000  8 Cu 2.64, 4 Os 2.85
2 Cd 0.5000 0.5000 0.5000  8 Cu 2.64, 4 Os 2.85
3 Cu 0.0000 0.5000 0.2500  4 Cd 2.64, 4 Os 2.64, 4 Cu 2.85
4 Cu 0.0000 0.5000 0.7500  4 Cd 2.64, 4 Os 2.64, 4 Cu 2.85
5 Cu 0.5000 0.0000 0.2500  4 Cd 2.64, 4 Os 2.64, 4 Cu 2.85
6 Cu 0.5000 0.0000 0.7500  4 Cd 2.64, 4 Os 2.64, 4 Cu 2.85
7 Os 0.0000 0.0000 0.5000  8 Cu 2.64, 4 Cd 2.85
8 Os 0.5000 0.5000 0.0000  8 Cu 2.64, 4 Cd 2.85

Output
The raw total energy comes out at -32.62 eV per atom. The crystal system is tetragonal. The energy relative to the elements comes out at 550.8 meV/atom. As for the space group: I4/mmm, No. 139.

***

(4)
CdCu2Os | meta-GGA SCAN | PBEsol geometry

Lattice parameters (Å, degrees): 9.7117 2.6550 4.6256 90.00 112.53 90.00
With the nearest neighbours (Å) after each atom.
Element x y z (fractional)
1 Cd 0.0000 0.0000 0.0000  7 Cu 2.63-2.71, 2 Cd 2.66, 3 Os 2.86-2.88
2 Cd 0.5000 0.5000 0.0000  7 Cu 2.63-2.71, 2 Cd 2.66, 3 Os 2.86-2.88
3 Cu 0.2546 0.5000 0.1361  4 Cu 2.56-2.66, 3 Cd 2.66-2.69, 4 Os 2.67-2.68
4 Cu 0.4812 0.0000 0.4944  4 Cu 2.56-2.66, 3 Os 2.61-2.71, 4 Cd 2.63-2.71
5 Cu 0.7546 0.0000 0.1361  4 Cu 2.56-2.66, 3 Cd 2.66-2.69, 4 Os 2.67-2.68
6 Cu 0.9812 0.5000 0.4944  4 Cu 2.56-2.66, 3 Os 2.61-2.71, 4 Cd 2.63-2.71
7 Os 0.2289 0.0000 0.6140  7 Cu 2.61-2.71, 2 Os 2.66, 3 Cd 2.86-2.88
8 Os 0.7289 0.5000 0.6140  7 Cu 2.61-2.71, 2 Os 2.66, 3 Cd 2.86-2.88

Output
The raw total energy comes out at -32.82 eV per atom. The crystal system is monoclinic. The energy relative to the elements comes out at 350.7 meV/atom. As for the space group: Cm, No. 8.